# 1
Density functional theory data (PBE) for a relaxed SiSb2Mo crystal.

Results
**Uncorrected energy**: -23.83 eV for the cell shown
**Raw formation energy**: 0.17 eV/atom
**Symmetry**: No. 38

Unit cell a=4.3738 b=3.7776 c=5.2295 alpha=68.88 beta=90.00 gamma=90.00
Last column: nearest neighbours and their distance in Å.
Positions (direct):
Mo (0.5000, 0.5627, 0.7504)  2 Si 2.54, 3 Sb 2.79-2.82
Sb (0.5000, 0.2731, 0.3286)  3 Mo 2.79-2.82, 4 Si 2.99
Si (0.0000, 0.6939, 0.4871)  2 Mo 2.54, 1 Sb 2.70
Sb (0.0000, 0.9703, 0.9338)  3 Si 2.70-2.89, 2 Mo 3.02

# 2
Density functional theory data (PBE) for a relaxed NaAcPdPt crystal.

Results
**Uncorrected energy**: -18.98 eV for the cell shown
**Symmetry**: No. 216

Unit cell a=5.1047 b=5.1047 c=5.1047 alpha=60.00 beta=60.00 gamma=60.00
Last column: nearest neighbours and their distance in Å.
Positions (direct):
Ac (0.0000, 0.0000, 0.0000)  4 Pt 3.13, 4 Pd 3.13
Pt (0.7500, 0.7500, 0.7500)  4 Na 3.13, 4 Ac 3.13
Na (0.5000, 0.5000, 0.5000)  4 Pd 3.13, 4 Pt 3.13
Pd (0.2500, 0.2500, 0.2500)  4 Ac 3.13, 4 Na 3.13

# 3
Density functional theory data (PBE) for a relaxed PmHg2Cl6 crystal.

Results
**Uncorrected energy**: -26.99 eV for the cell shown
**Raw formation energy**: -1.17 eV/atom
**Symmetry**: No. 146

Unit cell a=7.4009 b=7.4009 c=7.6776 alpha=61.18 beta=61.18 gamma=60.00
Last column: nearest neighbours and their distance in Å.
Positions (direct):
Hg (0.5846, 0.5846, 0.2461)  3 Cl 2.67, 1 Hg 2.90
Cl (0.4485, 0.1255, 0.7310)  1 Hg 2.57, 1 Pm 2.78
Pm (0.3284, 0.3284, 0.0149)  6 Cl 2.71-2.78
Cl (0.1255, 0.6950, 0.7310)  1 Hg 2.57, 1 Pm 2.78
Cl (0.2329, 0.5607, 0.2524)  1 Hg 2.67, 1 Pm 2.71
Cl (0.6950, 0.4485, 0.7310)  1 Hg 2.57, 1 Pm 2.78
Cl (0.9540, 0.2329, 0.2524)  1 Hg 2.67, 1 Pm 2.71
Hg (0.7360, 0.7360, 0.7920)  3 Cl 2.57
Cl (0.5607, 0.9540, 0.2524)  1 Hg 2.67, 1 Pm 2.71